Entry 1:
Computed, not measured: CeEuDy2 after structural relaxation at the GGA-PBE level of DFT.

For the formation energy, the calculation gives 34 kJ/mol of formula units. Its space group is No. 123.

```
data_CeEuDy2
_chemical_formula_sum 'Ce1 Eu1 Dy2'
_symmetry_space_group_name_H-M 'P 1'
_symmetry_Int_Tables_number 1
_symmetry_space_group_name_Hall 'P 1'
_cell_length_a 3.5943
_cell_length_b 3.5943
_cell_length_c 10.1811
_cell_angle_alpha 90.00
_cell_angle_beta 90.00
_cell_angle_gamma 90.00
loop_
_atom_site_label
_atom_site_fract_x
_atom_site_fract_y
_atom_site_fract_z
_atom_site_occupancy
Eu1 0.5000 0.5000 0.5000 1
Ce1 0.5000 0.5000 0.0000 1
Dy1 0.0000 0.0000 0.2278 1
Dy2 0.0000 0.0000 0.7722 1
```

***

Entry 2:
Computed, not measured: La3Dy4Tl2 after structural relaxation at the GGA-PBE level of DFT.

For the formation energy, the calculation gives -60 kJ/mol of formula units. Its space group is No. 15.

```
data_La3Dy4Tl2
_chemical_formula_sum 'La6 Dy8 Tl4'
_symmetry_space_group_name_H-M 'P 1'
_symmetry_Int_Tables_number 1
_symmetry_space_group_name_Hall 'P 1'
_cell_length_a 6.5477
_cell_length_b 9.5497
_cell_length_c 9.5497
_cell_angle_alpha 83.65
_cell_angle_beta 82.56
_cell_angle_gamma 82.56
loop_
_atom_site_label
_atom_site_fract_x
_atom_site_fract_y
_atom_site_fract_z
_atom_site_occupancy
La1 0.9234 0.0400 0.1671 1
La2 0.5766 0.8329 0.9600 1
La3 0.0766 0.9600 0.8329 1
La4 0.4234 0.1671 0.0400 1
La5 0.2500 0.4704 0.5296 1
La6 0.7500 0.5296 0.4704 1
Dy1 0.4271 0.8607 0.3126 1
Dy2 0.0729 0.6874 0.1393 1
Dy3 0.5729 0.1393 0.6874 1
Dy4 0.9271 0.3126 0.8607 1
Dy5 0.0900 0.1542 0.4855 1
Dy6 0.4100 0.5145 0.8458 1
Dy7 0.9100 0.8458 0.5145 1
Dy8 0.5900 0.4855 0.1542 1
Tl1 0.5676 0.1978 0.3707 1
Tl2 0.9324 0.6293 0.8022 1
Tl3 0.4324 0.8022 0.6293 1
Tl4 0.0676 0.3707 0.1978 1
```

***

Entry 3:
Computed, not measured: LiTl2Hg after structural relaxation at the GGA-PBE level of DFT.

For the formation energy, the calculation gives -36 kJ/mol of formula units. Its space group is No. 6.

```
data_LiTl2Hg
_chemical_formula_sum 'Li1 Tl2 Hg1'
_symmetry_space_group_name_H-M 'P 1'
_symmetry_Int_Tables_number 1
_symmetry_space_group_name_Hall 'P 1'
_cell_length_a 4.9748
_cell_length_b 3.4379
_cell_length_c 6.2017
_cell_angle_alpha 78.36
_cell_angle_beta 90.00
_cell_angle_gamma 90.00
loop_
_atom_site_label
_atom_site_fract_x
_atom_site_fract_y
_atom_site_fract_z
_atom_site_occupancy
Hg1 0.0000 0.5031 0.5275 1
Li1 0.5000 0.7027 0.7246 1
Tl1 0.0000 0.9740 0.9924 1
Tl2 0.5000 0.3202 0.2555 1
```

***

Entry 4:
Computed, not measured: Sr3DyU3N8 after structural relaxation at the GGA-PBE level of DFT.

The value obtained for the raw formation energy is -1.184 eV per atom. Its space group is No. 166.

```
data_Sr3DyU3N8
_chemical_formula_sum 'Sr3 Dy1 U3 N8'
_symmetry_space_group_name_H-M 'P 1'
_symmetry_Int_Tables_number 1
_symmetry_space_group_name_Hall 'P 1'
_cell_length_a 7.0301
_cell_length_b 7.0308
_cell_length_c 7.2464
_cell_angle_alpha 119.02
_cell_angle_beta 90.00
_cell_angle_gamma 120.00
loop_
_atom_site_label
_atom_site_fract_x
_atom_site_fract_y
_atom_site_fract_z
_atom_site_occupancy
Sr1 0.0000 0.0000 0.0000 1
Sr2 0.0000 0.5000 0.0000 1
Sr3 0.5000 0.5000 0.0000 1
Dy1 0.0000 0.0000 0.5000 1
U1 0.5000 0.0000 0.5000 1
U2 0.5000 0.5000 0.5000 1
U3 0.0000 0.5000 0.5000 1
N1 0.2657 0.5313 0.2974 1
N2 0.7343 0.4687 0.7026 1
N3 0.7654 0.5308 0.3228 1
N4 0.2346 0.4692 0.6772 1
N5 0.7653 0.0572 0.3227 1
N6 0.2347 0.9428 0.6773 1
N7 0.2919 0.0572 0.3227 1
N8 0.7081 0.9428 0.6773 1
```

***

Entry 5:
Computed, not measured: Y2PuO after structural relaxation at the GGA-PBE level of DFT.

The value obtained for the raw formation energy is -0.783 eV per atom. Its space group is No. 123.

```
data_Y2PuO
_chemical_formula_sum 'Y2 Pu1 O1'
_symmetry_space_group_name_H-M 'P 1'
_symmetry_Int_Tables_number 1
_symmetry_space_group_name_Hall 'P 1'
_cell_length_a 3.1095
_cell_length_b 3.1095
_cell_length_c 8.7268
_cell_angle_alpha 90.00
_cell_angle_beta 90.00
_cell_angle_gamma 90.00
loop_
_atom_site_label
_atom_site_fract_x
_atom_site_fract_y
_atom_site_fract_z
_atom_site_occupancy
Y1 0.0000 0.0000 0.8209 1
Y2 0.0000 0.0000 0.1791 1
O1 0.5000 0.5000 0.0000 1
Pu1 0.5000 0.5000 0.5000 1
```

***

Entry 6:
Computed, not measured: LiTa2Sb after structural relaxation at the GGA-PBE level of DFT.

The value obtained for the raw formation energy is 0.221 eV per atom. Its space group is No. 216.

```
data_LiTa2Sb
_chemical_formula_sum 'Li1 Ta2 Sb1'
_symmetry_space_group_name_H-M 'P 1'
_symmetry_Int_Tables_number 1
_symmetry_space_group_name_Hall 'P 1'
_cell_length_a 4.6725
_cell_length_b 4.6725
_cell_length_c 4.6725
_cell_angle_alpha 60.00
_cell_angle_beta 60.00
_cell_angle_gamma 60.00
loop_
_atom_site_label
_atom_site_fract_x
_atom_site_fract_y
_atom_site_fract_z
_atom_site_occupancy
Li1 0.5000 0.5000 0.5000 1
Sb1 0.7500 0.7500 0.7500 1
Ta1 0.0000 0.0000 0.0000 1
Ta2 0.2500 0.2500 0.2500 1
```

***

Which formula does entry 5 have? Y2PuO

***

Which formula does entry 2 have? La3Dy4Tl2